Below is a relaxed Nd3Sm8Sc2 crystal, with properties calculated at the GGA-PBE level.

Results
calculated formation energy	2.98	eV/f.u.
volume	34.35	Å³/atom

Cell lengths 14.8855, 9.2185, 6.8953 Å; angles 90.00, 109.28, 90.00 degrees
Last column: nearest neighbours and their distance in Å.
Space group C2/m (No. 12)
Asymmetric unit:
1 Nd 0.0000 0.0000 0.0000 [2 per cell]  6 Sm 3.16-3.50, 2 Sc 3.41
2 Nd 0.0000 0.1727 0.5000 [4 per cell]  1 Nd 3.18, 4 Sm 3.47-3.48
3 Sm 0.0952 0.5000 0.7226 [4 per cell]  4 Sm 3.38-3.56, 2 Nd 3.47, 1 Sc 3.51
4 Sm 0.1233 0.3194 0.1960 [8 per cell]  3 Sm 3.33-3.56, 2 Sc 3.35-3.47, 2 Nd 3.48-3.50
5 Sm 0.1920 0.0000 0.8973 [4 per cell]  1 Nd 3.16, 1 Sc 3.32, 3 Sm 3.38-3.45
6 Sc 0.2001 0.0000 0.4223 [4 per cell]  7 Sm 3.32-3.58, 3 Nd 3.41-3.57

---

Below is a relaxed Nd4Sm6Sc crystal, with properties calculated at the GGA-PBE level.

Results
calculated formation energy	1.38	eV/f.u.
volume	33.42	Å³/atom

Cell lengths 5.8686, 9.7105, 25.8048 Å; angles 90.00, 90.00, 90.00 degrees
Last column: nearest neighbours and their distance in Å.
Space group Cmcm (No. 63)
Asymmetric unit:
1 Nd 0.0000 0.0472 0.1230 [8 per cell]  6 Sm 3.21-3.56, 1 Nd 3.57
2 Nd 0.0000 0.3523 0.0456 [8 per cell]  7 Sm 3.47-3.77, 2 Nd 3.57-3.71
3 Sm 0.0000 0.0000 0.0000 [4 per cell]  6 Nd 3.21-3.47
4 Sm 0.0000 0.0432 0.2500 [4 per cell]  3 Sc 3.27-3.33, 2 Nd 3.28, 2 Sm 3.64
5 Sm 0.0000 0.2975 0.6088 [8 per cell]  5 Nd 3.32-3.66, 1 Sc 3.64
6 Sm 0.0000 0.3750 0.1846 [8 per cell]  5 Sm 3.38-3.76, 4 Nd 3.56-3.73, 3 Sc 3.63-3.76
7 Sc 0.0000 0.2939 0.7500 [4 per cell]  7 Sm 3.27-3.64

---

Below is a relaxed Nd7SmSc4 crystal, with properties calculated at the GGA-PBE level.

Results
calculated formation energy	0.48	eV/f.u.
volume	31.34	Å³/atom

Cell lengths 6.1859, 7.1415, 8.7565 Å; angles 89.95, 76.45, 89.99 degrees
Last column: nearest neighbours and their distance in Å.
Space group P-1 (No. 2)
Asymmetric unit:
1 Nd 0.0000 0.0000 0.0000 [1 per cell]  4 Sc 3.48-3.54, 6 Nd 3.52-3.57, 2 Sm 3.57
2 Nd 0.2251 0.5006 0.3363 [2 per cell]  6 Nd 3.46-3.66, 5 Sc 3.48-3.64, 1 Sm 3.54
3 Nd 0.2889 0.2438 0.6586 [2 per cell]  6 Sc 3.41-3.69, 5 Nd 3.46-3.66, 1 Sm 3.60
4 Nd 0.4988 0.7585 0.9899 [2 per cell]  7 Nd 3.45-3.70, 3 Sc 3.48-3.61, 2 Sm 3.58-3.63
5 Sm 0.0000 0.5000 0.0000 [1 per cell]  10 Nd 3.54-3.63, 2 Sc 3.56
6 Sc 0.2120 0.9986 0.3415 [2 per cell]  4 Sc 3.34-3.63, 8 Nd 3.41-3.61
7 Sc 0.2705 0.7607 0.6630 [2 per cell]  3 Sc 3.38-3.63, 8 Nd 3.43-3.69, 1 Sm 3.56

---

Spin magnetization across the listed records, respectively: 0.0, 0.0, 0.0 μB/f.u..